(1)
LaFeCl2 | GGA-PBE | optimized geometry

Unit cell a=13.620 b=3.800 c=4.324 alpha=90.00 beta=92.67 gamma=90.00
Fractional positions:
La (0.000, 0.000, 0.000)
La (0.500, 0.500, 0.000)
Fe (0.000, 0.500, 0.500)
Fe (0.500, 0.000, 0.500)
Cl (0.144, 0.500, 0.753)
Cl (0.356, 0.000, 0.247)
Cl (0.644, 0.000, 0.753)
Cl (0.856, 0.500, 0.247)

Computed properties:
For the uncorrected formation energy, the calculation gives -0.9249 eV per atom. The value obtained for the energy above the most stable polymorph in this dataset is 0 meV per atom. The total moment is 1.13 μB per formula unit. Its space-group type is C2/m, No. 12.


(2)
RbSb3 | GGA-PBE | optimized geometry

Unit cell a=4.840 b=4.840 c=13.086 alpha=90.00 beta=90.00 gamma=90.00
Fractional positions:
Rb (0.000, 0.000, 0.000)
Rb (0.500, 0.500, 0.500)
Sb (0.000, 0.000, 0.286)
Sb (0.000, 0.000, 0.500)
Sb (0.000, 0.000, 0.714)
Sb (0.500, 0.500, 0.000)
Sb (0.500, 0.500, 0.214)
Sb (0.500, 0.500, 0.786)

Computed properties:
For the uncorrected formation energy, the calculation gives 0.1806 eV per atom. The value obtained for the energy above the most stable polymorph in this dataset is 295 meV per atom. The total moment is 0.00 μB per formula unit. Its space-group type is I4/mmm, No. 139.


(3)
Dy3PaCo3 | GGA-PBE | optimized geometry

Unit cell a=6.402 b=6.402 c=14.443 alpha=113.85 beta=113.85 gamma=33.60
Fractional positions:
Dy (0.017, 0.017, 0.134)
Dy (0.092, 0.092, 0.421)
Dy (0.231, 0.231, 0.694)
Dy (0.769, 0.769, 0.306)
Dy (0.908, 0.908, 0.579)
Dy (0.983, 0.983, 0.866)
Pa (0.280, 0.280, 0.109)
Pa (0.720, 0.720, 0.891)
Co (0.375, 0.375, 0.963)
Co (0.412, 0.412, 0.430)
Co (0.435, 0.435, 0.261)
Co (0.565, 0.565, 0.739)
Co (0.588, 0.588, 0.570)
Co (0.625, 0.625, 0.037)

Computed properties:
The total moment is 0.00 μB per formula unit. Its space-group type is C2/m, No. 12. The value obtained for the formation energy is -0.2443 eV/atom.


(4)
TiCl | GGA-PBE | optimized geometry

Unit cell a=5.026 b=5.026 c=5.026 alpha=90.00 beta=90.00 gamma=90.00
Fractional positions:
Ti (0.000, 0.000, 0.000)
Ti (0.000, 0.500, 0.500)
Ti (0.500, 0.000, 0.500)
Ti (0.500, 0.500, 0.000)
Cl (0.000, 0.000, 0.500)
Cl (0.000, 0.500, 0.000)
Cl (0.500, 0.000, 0.000)
Cl (0.500, 0.500, 0.500)

Computed properties:
For the uncorrected formation energy, the calculation gives -0.1646 eV per atom. The total moment is 0.00 μB per formula unit. Its space-group type is Fm-3m, No. 225.


(5)
TiBeTlW2 | GGA-PBE | optimized geometry

Unit cell a=4.362 b=4.362 c=4.375 alpha=90.00 beta=90.00 gamma=90.00
Fractional positions:
Ti (0.000, 0.000, 0.000)
Be (0.500, 0.500, 0.500)
Tl (0.500, 0.500, 0.000)
W (0.000, 0.500, 0.500)
W (0.500, 0.000, 0.500)

Computed properties:
The total moment is 0.00 μB per formula unit. Its space-group type is P4/mmm, No. 123. The value obtained for the formation energy is 0.8991 eV/atom.


(6)
Sc3TiSi | GGA-PBE | optimized geometry

Unit cell a=5.023 b=5.023 c=5.023 alpha=90.00 beta=90.00 gamma=90.00
Fractional positions:
Sc (0.000, 0.000, 0.500)
Sc (0.000, 0.500, 0.000)
Sc (0.500, 0.000, 0.000)
Ti (0.500, 0.500, 0.500)
Si (0.000, 0.000, 0.000)

Computed properties:
For the uncorrected formation energy, the calculation gives 0.2564 eV per atom. The value obtained for the energy above the most stable polymorph in this dataset is 0 meV per atom. The total moment is 4.32 μB per formula unit. Its space-group type is Pm-3m, No. 221.


(7)
PrSm3N | GGA-PBE | optimized geometry

Unit cell a=5.106 b=5.106 c=5.106 alpha=90.00 beta=90.00 gamma=90.00
Fractional positions:
Pr (0.000, 0.000, 0.000)
Sm (0.000, 0.500, 0.500)
Sm (0.500, 0.000, 0.500)
Sm (0.500, 0.500, 0.000)
N (0.500, 0.500, 0.500)

Computed properties:
For the uncorrected formation energy, the calculation gives -0.4499 eV per atom. The total moment is 0.01 μB per formula unit. Its space-group type is Pm-3m, No. 221.


(8)
NaTlO3 | GGA-PBE | optimized geometry

Unit cell a=4.180 b=4.180 c=4.180 alpha=90.00 beta=90.00 gamma=90.00
Fractional positions:
Na (0.000, 0.000, 0.000)
Tl (0.500, 0.500, 0.500)
O (0.000, 0.000, 0.500)
O (0.000, 0.500, 0.000)
O (0.500, 0.000, 0.000)

Computed properties:
For the uncorrected formation energy, the calculation gives 0.2467 eV per atom. The total moment is 4.00 μB per formula unit. Its space-group type is Pm-3m, No. 221.


The records above give, respectively, uncorrected energy values of -5.196; -3.153; -6.619; -5.035; -7.080; -6.206; -5.902; -3.465 eV/atom.